A relaxed LaMg2GeAu crystal, computed with PBE.

Cell and atoms, written as CIF:
```
data_LaMg2GeAu
_cell_length_a 6.7817
_cell_length_b 6.7817
_cell_length_c 6.7817
_cell_angle_alpha 142.54
_cell_angle_beta 142.54
_cell_angle_gamma 54.02
_space_group_name_H-M_alt 'P 1'
_space_group_IT_number 1
loop_
_space_group_symop_operation_xyz
'x,y,z'
loop_
_atom_site_label
_atom_site_type_symbol
_atom_site_fract_x
_atom_site_fract_y
_atom_site_fract_z
La1 La 0.9862 0.9862 0.0000
Au1 Au 0.6149 0.6149 0.0000
Ge1 Ge 0.3989 0.3989 0.0000
Mg1 Mg 0.7500 0.2500 0.5000
Mg2 Mg 0.2500 0.7500 0.5000
```

Calculated values
calculated density: 6.622 g cm⁻³
raw total energy: -19.24 eV/cell
space-group type: No. 107